# 1
Density functional theory data (SCAN) for a crystal of GeTeI3 relaxed with PBEsol.

The magnetization is 1.392 Bohr magnetons per cell. The electronic total energy is -163.91 eV per cell.

a b c (Å): 5.9152 5.9152 5.9152
angles (deg): 90.00 90.00 90.00
Last column: nearest neighbours and their distance in Å.
Space group Pm-3m (No. 221)
One atom of each set of equivalent atoms:
Ge 0.0000 0.0000 0.0000  12 I 4.18
Te 0.5000 0.5000 0.5000  6 I 2.96
I 0.0000 0.5000 0.5000  2 Te 2.96



# 2
Density functional theory data (SCAN) for a crystal of YGeTe2I relaxed with PBEsol.

The magnetization is 0.153 Bohr magnetons per cell. The electronic total energy is -158.74 eV per cell.

a b c (Å): 5.8089 5.8089 5.6660
angles (deg): 90.00 90.00 90.00
Last column: nearest neighbours and their distance in Å.
Space group P4/mmm (No. 123)
One atom of each set of equivalent atoms:
Y 0.0000 0.0000 0.0000  2 I 2.83, 4 Te 2.90
Ge 0.5000 0.5000 0.5000  8 Te 4.06, 4 I 4.11
Te 0.0000 0.5000 0.0000  2 Y 2.90
I 0.0000 0.0000 0.5000  2 Y 2.83



# 3
Density functional theory data (SCAN) for a crystal of Ti3GeI relaxed with PBEsol.

The magnetization is 6.520 Bohr magnetons per cell. The electronic total energy is -102.07 eV per cell.

a b c (Å): 4.8099 4.8099 4.8099
angles (deg): 90.00 90.00 90.00
Last column: nearest neighbours and their distance in Å.
Space group Pm-3m (No. 221)
One atom of each set of equivalent atoms:
Ti 0.0000 0.0000 0.5000  2 Ge 2.40
Ge 0.0000 0.0000 0.0000  6 Ti 2.40
I 0.5000 0.5000 0.5000  12 Ti 3.40



# 4
Density functional theory data (SCAN) for a crystal of YTl2GeI relaxed with PBEsol.

The magnetization is 0.000 Bohr magnetons per cell. The electronic total energy is -226.74 eV per cell.

a b c (Å): 6.1717 6.1717 5.1380
angles (deg): 90.00 90.00 90.00
Last column: nearest neighbours and their distance in Å.
Space group P4/mmm (No. 123)
One atom of each set of equivalent atoms:
Y 0.0000 0.0000 0.0000  2 Ge 2.57
Tl 0.0000 0.5000 0.0000  2 Y 3.09
Ge 0.0000 0.0000 0.5000  2 Y 2.57
I 0.5000 0.5000 0.5000  8 Tl 4.02, 4 Ge 4.36



# 5
Density functional theory data (SCAN) for a crystal of YGe2I relaxed with PBEsol.

The magnetization is 0.000 Bohr magnetons per cell. The electronic total energy is -406.61 eV per cell.

a b c (Å): 7.2672 7.2672 7.2672
angles (deg): 90.00 90.00 90.00
Last column: nearest neighbours and their distance in Å.
Space group Fm-3m (No. 225)
One atom of each set of equivalent atoms:
Y 0.0000 0.0000 0.0000  8 Ge 3.15
Ge 0.2500 0.2500 0.2500  4 I 3.15, 4 Y 3.15
I 0.0000 0.0000 0.5000  8 Ge 3.15



# 6
Density functional theory data (SCAN) for a crystal of Zr6GeI14 relaxed with PBEsol.

The magnetization is 0.000 Bohr magnetons per cell. The electronic total energy is -2959.19 eV per cell.

a b c (Å): 15.9644 14.1826 12.9062
angles (deg): 90.00 90.00 90.00
Last column: nearest neighbours and their distance in Å.
Space group Cmce (No. 64)
One atom of each set of equivalent atoms:
Zr 0.0000 0.1485 0.1091  1 Ge 2.53
Zr 0.1154 0.0701 0.8831  1 Ge 2.58, 3 I 2.85-2.88
Ge 0.0000 0.0000 0.0000  6 Zr 2.53-2.58
I 0.0000 0.1589 0.7343  3 Zr 2.94-3.17
I 0.1258 0.0891 0.2533  2 Zr 2.87
I 0.1262 0.2463 0.9926  2 Zr 2.87-2.88
I 0.2468 0.0000 0.5000  2 Zr 2.85
I 0.2500 0.1575 0.7500  2 Zr 3.02



# 7
Density functional theory data (SCAN) for a crystal of ZrGe3I relaxed with PBEsol.

The magnetization is 0.004 Bohr magnetons per cell. The electronic total energy is -117.54 eV per cell.

a b c (Å): 5.1767 5.1767 5.1767
angles (deg): 90.00 90.00 90.00
Last column: nearest neighbours and their distance in Å.
Space group Pm-3m (No. 221)
One atom of each set of equivalent atoms:
Zr 0.0000 0.0000 0.0000  12 Ge 3.66
Ge 0.0000 0.5000 0.5000  2 I 2.59
I 0.5000 0.5000 0.5000  6 Ge 2.59



# 8
Density functional theory data (SCAN) for a crystal of InGeIr3 relaxed with PBEsol.

The formation enthalpy at 0 K is 0.91 eV per atom. The magnetization is 0.000 Bohr magnetons per cell.

a b c (Å): 4.5143 4.5143 4.5143
angles (deg): 90.00 90.00 90.00
Last column: nearest neighbours and their distance in Å.
Space group Pm-3m (No. 221)
One atom of each set of equivalent atoms:
In 0.0000 0.0000 0.0000  12 Ir 3.19
Ge 0.5000 0.5000 0.5000  6 Ir 2.26
Ir 0.0000 0.5000 0.5000  2 Ge 2.26



# 9
Density functional theory data (SCAN) for a crystal of InGeIr2 relaxed with PBEsol.

The formation enthalpy at 0 K is 0.11 eV per atom. The magnetization is 3.712 Bohr magnetons per cell.

a b c (Å): 6.3004 6.3004 6.3004
angles (deg): 90.00 90.00 90.00
Last column: nearest neighbours and their distance in Å.
Space group Fm-3m (No. 225)
One atom of each set of equivalent atoms:
In 0.0000 0.0000 0.0000  8 Ir 2.73
Ge 0.0000 0.0000 0.5000  8 Ir 2.73
Ir 0.2500 0.2500 0.2500  4 Ge 2.73, 4 In 2.73



# 10
Density functional theory data (SCAN) for a crystal of In7GeIrO8 relaxed with PBEsol.

The magnetization is 0.000 Bohr magnetons per cell. The electronic total energy is -1597.62 eV per cell.

a b c (Å): 10.1554 10.1554 10.1554
angles (deg): 90.00 90.00 90.00
Last column: nearest neighbours and their distance in Å.
Space group F-43m (No. 216)
One atom of each set of equivalent atoms:
In 0.0000 0.0000 0.0000  4 O 2.12
In 0.9998 0.2500 0.2500  4 O 2.22-2.37
Ge 0.0000 0.0000 0.5000  4 O 1.79
Ir 0.2500 0.2500 0.2500  6 In 2.54
O 0.1017 0.1017 0.6017  1 Ge 1.79
O 0.1206 0.1206 0.8794  4 In 2.12-2.22



# 11
Density functional theory data (SCAN) for a crystal of KIn2Ge2 relaxed with PBEsol.

The formation enthalpy at 0 K is -0.13 eV per atom. The magnetization is 0.000 Bohr magnetons per cell.

a b c (Å): 4.7657 4.7657 11.4878
angles (deg): 90.00 90.00 90.00
Last column: nearest neighbours and their distance in Å.
Space group I4/mmm (No. 139)
One atom of each set of equivalent atoms:
K 0.0000 0.0000 0.0000  8 In 3.65, 8 Ge 3.73
In 0.0000 0.0000 0.3768  4 Ge 2.79, 1 In 2.83
Ge 0.0000 0.5000 0.2500  4 In 2.79



# 12
Density functional theory data (SCAN) for a crystal of Li3InGe relaxed with PBEsol.

The formation enthalpy at 0 K is -0.01 eV per atom. The magnetization is 0.000 Bohr magnetons per cell.

a b c (Å): 4.7813 4.7813 4.7813
angles (deg): 90.00 90.00 90.00
Last column: nearest neighbours and their distance in Å.
Space group Pm-3m (No. 221)
One atom of each set of equivalent atoms:
Li 0.0000 0.0000 0.5000  2 Ge 2.39
In 0.5000 0.5000 0.5000  12 Li 3.38
Ge 0.0000 0.0000 0.0000  6 Li 2.39



# 13
Density functional theory data (SCAN) for a crystal of LiInGeO4 relaxed with PBEsol.

The magnetization is 0.000 Bohr magnetons per cell. The electronic total energy is -374.03 eV per cell.

a b c (Å): 10.7599 6.0699 5.0049
angles (deg): 90.00 90.00 90.00
Last column: nearest neighbours and their distance in Å.
Space group Pnma (No. 62)
One atom of each set of equivalent atoms:
Li 0.0000 0.0000 0.0000  6 O 2.10-2.25
In 0.2286 0.2500 0.4923  6 O 2.12-2.24
Ge 0.0859 0.7500 0.4413  4 O 1.73-1.80
O 0.0604 0.2500 0.7133  1 Ge 1.75
O 0.0927 0.7500 0.7874  1 Ge 1.73
O 0.1655 0.5306 0.2711  1 Ge 1.80